Record 1
Computed, not measured: a relaxed structure of ErScTiIn at the PBE level of DFT.

POSCAR file:
```
ErScTiIn
1.0
0.0000 3.6016 3.6016
3.6016 0.0000 3.6016
3.6016 3.6016 0.0000
Er Sc Ti In
1 1 1 1
Direct
0.0000 0.0000 0.0000
0.5000 0.5000 0.5000
0.2500 0.2500 0.2500
0.7500 0.7500 0.7500
```

raw total energy: -5.49 eV per atom
crystal system: cubic
space group: F-43m
E_form: -2.6 kcal/mol of atoms
total magnetization: 2.88 μB/cell

***

Record 2
Computed, not measured: a relaxed structure of AgPbSe2 at the PBE level of DFT.

POSCAR file:
```
AgPbSe2
1.0
1.8856 1.0886 8.9455
-1.8856 1.0886 8.9455
0.0000 -2.1773 8.9455
Ag Pb Se
1 1 2
Direct
0.0000 0.0000 0.0000
0.5000 0.5000 0.5000
0.3897 0.3897 0.3897
0.6103 0.6103 0.6103
```

raw total energy: -3.28 eV per atom
crystal system: trigonal
space group: R-3m
total magnetization: 0.00 μB/cell

***

Record 3
Computed, not measured: a relaxed structure of SrMg2Cd2Pb2 at the PBE level of DFT.

POSCAR file:
```
SrMg2Cd2Pb2
1.0
4.8387 -2.2617 0.0000
4.8387 2.2617 0.0000
-0.8423 0.0000 8.8135
Sr Mg Cd Pb
1 2 2 2
Direct
0.0000 0.0000 0.0000
0.4222 0.4222 0.3254
0.5778 0.5778 0.6746
0.1355 0.1355 0.4431
0.8645 0.8645 0.5569
0.2889 0.2889 0.7875
0.7111 0.7111 0.2125
```

raw total energy: -2.21 eV per atom
crystal system: monoclinic
space group: C2/m
E_form: -4.5 kcal/mol of atoms
total magnetization: 0.00 μB/cell

***

Record 4
Computed, not measured: a relaxed structure of MgGa3Sb at the PBE level of DFT.

POSCAR file:
```
MgGa3Sb
1.0
5.0888 0.0000 0.0000
0.0000 5.0888 0.0000
0.0000 0.0000 5.0888
Mg Ga Sb
1 3 1
Direct
0.0000 0.0000 0.0000
0.0000 0.0000 0.5000
0.0000 0.5000 0.0000
0.5000 0.0000 0.0000
0.5000 0.5000 0.5000
```

raw total energy: -2.52 eV per atom
crystal system: cubic
space group: Pm-3m
total magnetization: 0.00 μB/cell

***

Record 5
Computed, not measured: a relaxed structure of CsSbP at the PBE level of DFT.

POSCAR file:
```
CsSbP
1.0
-3.1860 5.7858 3.7330
3.1860 -5.7858 3.7330
3.1860 5.7858 -3.7330
Cs Sb P
2 2 2
Direct
0.1996 0.0000 0.1996
0.8004 0.0000 0.8004
0.6060 0.3785 0.7725
0.6060 0.8335 0.2275
0.2860 0.6193 0.3332
0.2860 0.9528 0.6667
```

raw total energy: -3.76 eV per atom
crystal system: orthorhombic
space group: Imm2
total magnetization: 0.00 μB/cell

***

Record 6
Computed, not measured: a relaxed structure of TiTl2Pd2 at the PBE level of DFT.

POSCAR file:
```
TiTl2Pd2
1.0
6.7564 0.0000 0.0000
0.0000 6.7564 0.0000
0.0000 0.0000 4.4190
Ti Tl Pd
2 4 4
Direct
0.0000 0.0000 0.0000
0.5000 0.5000 0.0000
0.1759 0.3241 0.5000
0.3241 0.8241 0.5000
0.6759 0.1759 0.5000
0.8241 0.6759 0.5000
0.1393 0.6393 0.0000
0.3607 0.1393 0.0000
0.6393 0.8607 0.0000
0.8607 0.3607 0.0000
```

raw total energy: -4.63 eV per atom
crystal system: tetragonal
space group: P4/mbm
E_form: -0.5 kcal/mol of atoms
total magnetization: 0.00 μB/cell